[1]
Density functional theory data (PBEsol) for a geometry-optimized ErAsPt structure.

Summary:
SG: P6_3/mmc (194)
Size of the total moment: 0.00 μB per cell
ΔE_f: -1.201 eV per atom

Unit cell a=4.233 b=4.233 c=7.474 alpha=90.00 beta=90.00 gamma=120.00
Positions (direct):
Er (0.000, 0.000, 0.000)
Er (0.000, 0.000, 0.500)
As (0.333, 0.667, 0.250)
As (0.667, 0.333, 0.750)
Pt (0.333, 0.667, 0.750)
Pt (0.667, 0.333, 0.250)


[2]
Density functional theory data (PBEsol) for a geometry-optimized Cr2IrAu structure.

Summary:
SG: I-4m2 (119)
Size of the total moment: 1.35 μB per cell
ΔE_f: 0.163 eV per atom

Unit cell a=3.785 b=3.785 c=7.654 alpha=90.00 beta=90.00 gamma=90.00
Positions (direct):
Cr (0.000, 0.000, 0.000)
Cr (0.000, 0.500, 0.250)
Cr (0.500, 0.000, 0.750)
Cr (0.500, 0.500, 0.500)
Ir (0.000, 0.000, 0.500)
Ir (0.500, 0.500, 0.000)
Au (0.000, 0.500, 0.750)
Au (0.500, 0.000, 0.250)


[3]
Density functional theory data (PBEsol) for a geometry-optimized AsPSeN2 structure.

Summary:
SG: P4/mmm (123)
Size of the total moment: 1.24 μB per cell
Raw formation energy: 1311 meV/atom

Unit cell a=3.611 b=3.611 c=6.158 alpha=90.00 beta=90.00 gamma=90.00
Positions (direct):
As (0.000, 0.000, 0.000)
P (0.500, 0.500, 0.500)
Se (0.000, 0.000, 0.500)
N (0.000, 0.500, 0.000)
N (0.500, 0.000, 0.000)


[4]
Density functional theory data (PBEsol) for a geometry-optimized LiZrTl4 structure.

Summary:
SG: F-43m (216)
Size of the total moment: 0.87 μB per cell
ΔE_f: 0.332 eV per atom

Unit cell a=6.022 b=6.022 c=6.022 alpha=60.00 beta=60.00 gamma=60.00
Positions (direct):
Li (0.000, 0.000, 0.000)
Zr (0.250, 0.250, 0.250)
Tl (0.125, 0.625, 0.625)
Tl (0.625, 0.125, 0.625)
Tl (0.625, 0.625, 0.125)
Tl (0.625, 0.625, 0.625)


- size of the total moment of number 3 (AsPSeN2)?
  1.24 μB per cell